Density functional theory data (PBEsol) for AlRuW after structural relaxation.

POSCAR file:
```
AlRuW
1.0
-1.584 1.618 1.520
-0.258 -2.646 0.607
5.606 1.047 3.251
Ru Al W
1 1 1
Cartesian
3.149 0.358 2.900
3.713 0.013 5.332
0.666 -0.334 2.525
```

Symmetry: Fmm2 (42)
Excess energy over the best structure of this formula in the dataset, meV/atom: 73.5
DOS(E_F), states/eV per cell: 2.1
E_form, eV/f.u.: 0.022

Density functional theory data (PBEsol) for Al2RuW after structural relaxation.

POSCAR file:
```
Al2RuW
1.0
3.823 0.000 0.000
0.000 3.823 0.000
-1.912 -1.912 3.933
W Al Ru
1 2 1
Cartesian
0.000 1.912 1.966
1.912 0.000 1.966
0.000 0.000 0.000
1.912 1.912 0.000
```

Symmetry: I-4m2 (119)
Excess energy over the best structure of this formula in the dataset, meV/atom: 0.0
DOS(E_F), states/eV per cell: 3.2
E_form, eV/f.u.: -0.382

Density functional theory data (PBEsol) for Y2AlRu2 after structural relaxation.

POSCAR file:
```
Y2AlRu2
1.0
4.273 0.000 0.000
0.000 6.722 0.000
0.000 0.000 6.722
Y Ru Al
4 4 2
Cartesian
2.136 5.537 2.177
2.136 2.177 1.184
2.136 4.545 5.537
2.136 1.184 4.545
0.000 0.905 2.456
0.000 2.456 5.817
0.000 4.266 0.905
0.000 5.817 4.266
0.000 0.000 0.000
0.000 3.361 3.361
```

Symmetry: P4/mbm (127)
DOS(E_F), states/eV per cell: 5.0
E_form, eV/f.u.: -1.998

Density functional theory data (PBEsol) for Y2AlRu after structural relaxation.

POSCAR file:
```
Y2AlRu
1.0
3.456 0.000 0.000
0.000 3.456 0.000
0.000 0.000 6.997
Y Al Ru
2 1 1
Cartesian
0.000 0.000 1.896
0.000 0.000 5.101
1.728 1.728 0.000
1.728 1.728 3.498
```

Symmetry: P4/mmm (123)
DOS(E_F), states/eV per cell: 2.2
E_form, eV/f.u.: -1.524

Density functional theory data (PBEsol) for YAlRu3 after structural relaxation.

POSCAR file:
```
YAlRu3
1.0
-0.042 4.234 1.377
-3.851 -0.726 2.114
2.235 -1.171 3.669
Y Al Ru
1 1 3
Cartesian
-0.829 1.168 3.580
0.000 0.000 0.000
1.117 -0.586 1.834
-0.021 2.117 0.689
-1.925 -0.363 1.057
```

Symmetry: Pm-3m (221)
DOS(E_F), states/eV per cell: 9.5
E_form, eV/f.u.: 2.502

Density functional theory data (PBEsol) for AlZn2Ru after structural relaxation.

POSCAR file:
```
AlZn2Ru
1.0
3.675 0.000 0.000
0.000 3.675 0.000
-1.837 -1.837 3.983
Al Ru Zn
1 1 2
Cartesian
1.837 1.837 0.000
0.000 1.837 1.991
1.837 0.000 1.991
0.000 0.000 0.000
```

Symmetry: I-4m2 (119)
DOS(E_F), states/eV per cell: 2.3
E_form, eV/f.u.: -1.069

Density functional theory data (PBEsol) for AlZn3Ru after structural relaxation.

POSCAR file:
```
AlZn3Ru
1.0
-4.383 -1.039 -0.064
1.039 -4.383 -0.042
-0.053 -0.056 4.504
Zn Al Ru
3 1 1
Cartesian
-2.191 -0.519 -0.032
-0.026 -0.028 2.252
0.520 -2.192 -0.021
0.000 0.000 0.000
-1.698 -2.739 2.199
```

Symmetry: Pm-3m (221)
DOS(E_F), states/eV per cell: 4.0
E_form, eV/f.u.: 6.240

Density functional theory data (PBEsol) for AlZnRu after structural relaxation.

POSCAR file:
```
AlZnRu
1.0
-2.048 0.911 1.621
-1.137 -3.878 0.743
2.749 1.838 2.439
Al Ru Zn
1 1 1
Cartesian
-0.133 0.059 0.106
0.057 0.554 2.979
-0.360 -1.742 1.719
```

Symmetry: P3m1 (156)
DOS(E_F), states/eV per cell: 1.9
E_form, eV/f.u.: -0.637